No. 1
{"formula": "Li2TmAg2Sn2", "functional": "PBE", "state": "relaxed", "lattice_angstrom": [[4.6553, 0.0000, 0.0000], [2.3276, 4.0316, 0.0000], [2.3276, 1.3439, 7.7239]], "species": ["Li", "Li", "Tm", "Ag", "Ag", "Sn", "Sn"], "fractional_positions": [[0.1393, 0.1393, 0.5820], [0.8607, 0.8607, 0.4180], [0.0000, 0.0000, 0.0000], [0.5650, 0.5650, 0.3051], [0.4350, 0.4350, 0.6949], [0.7366, 0.7366, 0.7901], [0.2634, 0.2634, 0.2099]], "spacegroup": "R-3m, No. 166", "ef_ev_per_atom": -0.365, "dos_ef_per_ev_cell": 3.67, "volume_a3_per_cell": 145.0}

=====

No. 2
{"formula": "NdZn4Au", "functional": "PBE", "state": "relaxed", "lattice_angstrom": [[-3.4868, 2.6908, -3.1001], [0.8550, 0.3880, -5.3035], [-3.1647, -2.6747, -3.4408]], "species": ["Nd", "Zn", "Zn", "Zn", "Zn", "Au"], "fractional_positions": [[0.2500, 0.2500, 0.2500], [0.6255, 0.6255, 0.1234], [0.6255, 0.1234, 0.6255], [0.6255, 0.6255, 0.6255], [0.1234, 0.6255, 0.6255], [0.0000, 0.0000, 0.0000]], "de_polymorph_mev_per_atom": 107, "spacegroup": "F-43m, No. 216", "ef_ev_per_atom": -0.216, "dos_ef_per_ev_cell": 5.50, "volume_a3_per_cell": 110.5}

=====

No. 3
{"formula": "Ac2SbSe", "functional": "PBE", "state": "relaxed", "lattice_angstrom": [[4.5294, 0.0000, 0.0000], [2.2647, 3.9225, 0.0000], [2.2647, 1.3075, 8.1011]], "species": ["Ac", "Ac", "Sb", "Se"], "fractional_positions": [[0.0821, 0.0821, 0.7537], [0.2518, 0.2518, 0.2447], [0.6677, 0.6677, 0.9969], [0.4985, 0.4985, 0.5046]], "de_polymorph_mev_per_atom": 118, "formation_energy_uncorrected_ev_per_atom": -1.438, "spacegroup": "R3m, No. 160", "dos_ef_per_ev_cell": 2.89, "volume_a3_per_cell": 143.9}

=====

No. 4
{"formula": "CeDyTmN3", "functional": "PBE", "state": "relaxed", "lattice_angstrom": [[-2.3896, -2.2388, -1.0685], [-0.4070, -2.2079, 5.5364], [-6.2150, 6.5552, 0.1639]], "species": ["Ce", "Ce", "Dy", "Dy", "Tm", "Tm", "N", "N", "N", "N", "N", "N"], "fractional_positions": [[0.7500, 0.6559, 0.6963], [0.2500, 0.3441, 0.3037], [0.2500, 0.1454, 0.6399], [0.7500, 0.8546, 0.3601], [0.2500, 0.7705, 0.0442], [0.7500, 0.2295, 0.9558], [0.2500, 0.7413, 0.5013], [0.7500, 0.0361, 0.1520], [0.7500, 0.5378, 0.1668], [0.7500, 0.2587, 0.4987], [0.2500, 0.4622, 0.8332], [0.2500, 0.9639, 0.8480]], "formation_energy_uncorrected_ev_per_atom": -1.438, "spacegroup": "P2_1/m, No. 11", "dos_ef_per_ev_cell": 7.63, "volume_a3_per_cell": 182.0}

=====

No. 5
{"formula": "Be2WCl", "functional": "PBE", "state": "relaxed", "lattice_angstrom": [[4.5158, 0.0054, 0.0000], [-1.7370, 4.1683, 0.0000], [0.0000, 0.0000, 2.7549]], "species": ["Be", "Be", "W", "Cl"], "fractional_positions": [[0.0000, 0.0000, 0.0000], [0.5000, 0.5000, 0.0000], [0.0000, 0.5000, 0.5000], [0.5000, 0.0000, 0.5000]], "de_polymorph_mev_per_atom": 402, "formation_energy_uncorrected_ev_per_atom": 0.604, "spacegroup": "Cmmm, No. 65", "dos_ef_per_ev_cell": 2.09, "volume_a3_per_cell": 51.9}

=====

No. 6
{"formula": "KAcSn2", "functional": "PBE", "state": "relaxed", "lattice_angstrom": [[5.0015, 0.0000, 0.0000], [0.0000, 7.5637, 0.0000], [0.0000, 0.0000, 16.2882]], "species": ["K", "K", "K", "K", "Ac", "Ac", "Ac", "Ac", "Sn", "Sn", "Sn", "Sn", "Sn", "Sn", "Sn", "Sn"], "fractional_positions": [[0.7500, 0.2504, 0.0232], [0.2500, 0.7496, 0.9768], [0.7500, 0.7504, 0.4768], [0.2500, 0.2496, 0.5232], [0.7500, 0.2519, 0.2882], [0.2500, 0.7481, 0.7118], [0.7500, 0.7519, 0.2118], [0.2500, 0.2481, 0.7882], [0.2500, 0.9499, 0.3389], [0.7500, 0.0501, 0.6611], [0.2500, 0.4499, 0.1611], [0.7500, 0.5501, 0.8389], [0.2500, 0.0538, 0.1611], [0.7500, 0.9462, 0.8389], [0.2500, 0.5538, 0.3389], [0.7500, 0.4462, 0.6611]], "spacegroup": "Pnma, No. 62", "ef_ev_per_atom": -0.506, "dos_ef_per_ev_cell": 2.65, "volume_a3_per_cell": 616.2}